one:
# PBE TiPd2I, optimized geometry
# * volume: 191.8 Å³/cell
# * magnetic moment: 0.0 μB/f.u.
data_TiPd2I
_chemical_formula_sum 'Ti2 Pd4 I2'
_cell_length_a 6.7762
_cell_length_b 6.7762
_cell_length_c 6.3568
_cell_angle_alpha 57.79
_cell_angle_beta 57.79
_cell_angle_gamma 90.00
_symmetry_space_group_name_H-M 'P 1'
_symmetry_Int_Tables_number 1
loop_
_symmetry_equiv_pos_as_xyz
'x,y,z'
loop_
_atom_site_label
_atom_site_fract_x
_atom_site_fract_y
_atom_site_fract_z
_atom_site_occupancy
I1 0.0000 0.0000 0.0000 1
I2 0.7500 0.2500 0.5000 1
Pd1 0.5880 0.1250 0.2500 1
Pd2 0.8750 0.8380 0.7500 1
Pd3 0.1620 0.6250 0.2500 1
Pd4 0.3750 0.4120 0.7500 1
Ti1 0.5000 0.5000 0.0000 1
Ti2 0.2500 0.7500 0.5000 1

two:
# PBE TiPd2I, optimized geometry
# * volume: 75.0 Å³/cell
# * magnetic moment: 0.0 μB/f.u.
data_TiPd2I
_chemical_formula_sum 'Ti1 Pd2 I1'
_cell_length_a 4.7327
_cell_length_b 4.7327
_cell_length_c 4.7327
_cell_angle_alpha 60.00
_cell_angle_beta 60.00
_cell_angle_gamma 60.00
_symmetry_space_group_name_H-M 'P 1'
_symmetry_Int_Tables_number 1
loop_
_symmetry_equiv_pos_as_xyz
'x,y,z'
loop_
_atom_site_label
_atom_site_fract_x
_atom_site_fract_y
_atom_site_fract_z
_atom_site_occupancy
I1 0.5000 0.5000 0.5000 1
Ti1 0.0000 0.0000 0.0000 1
Pd1 0.7500 0.7500 0.7500 1
Pd2 0.2500 0.2500 0.2500 1

Most stable: two. Least stable: one.